(1)
The following is a PBEsol calculation of an optimized crystal structure of Be3Tl, from Alexandria via LeMat-Bulk.

The structure in POSCAR format:
```
Be3Tl
1.0
3.6646 0.0000 0.0000
0.0000 5.7032 -0.0786
0.0000 -2.7587 4.9922
Be Tl
6 2
direct
0.2500 0.8725 0.7451 Be
0.2500 0.8702 0.1298 Be
0.2500 0.2549 0.1275 Be
0.7500 0.7451 0.8725 Be
0.7500 0.1298 0.8702 Be
0.7500 0.1275 0.2549 Be
0.7500 0.6660 0.3340 Tl
0.2500 0.3340 0.6660 Tl
```

Formation energy from the elements in kcal/mol of atoms: 11.81
DOS(E_F) in states/eV/cell: 1.9
Total magnetic moment in μB per atom: 0.000

(2)
The following is a PBEsol calculation of an optimized crystal structure of AgMo2Ru, from Alexandria via LeMat-Bulk.

The structure in POSCAR format:
```
AgMo2Ru
1.0
-0.1127 -2.7057 0.4795
0.0272 -0.6890 -3.8820
5.5177 -0.2161 0.0770
Mo Ru Ag
2 1 1
direct
0.0000 0.0000 0.7723 Mo
0.0000 0.0000 0.2277 Mo
0.5000 0.5000 0.0000 Ru
0.5000 0.5000 0.5000 Ag
```

Formation energy from the elements in kcal/mol of atoms: 6.12
DOS(E_F) in states/eV/cell: 2.3
Total magnetic moment in μB per atom: 0.000

(3)
The following is a PBEsol calculation of an optimized crystal structure of Be5Au, from Alexandria via LeMat-Bulk.

The structure in POSCAR format:
```
Be5Au
1.0
3.3504 0.0000 0.0000
0.0000 3.3681 0.0000
0.0000 1.6841 5.1288
Au Be
1 5
direct
0.0000 0.5000 0.0000 Au
0.5000 0.6796 0.6409 Be
0.0000 0.1749 0.6502 Be
0.5000 0.3204 0.3591 Be
0.0000 0.8251 0.3498 Be
0.5000 0.0000 0.0000 Be
```

Formation energy from the elements in kcal/mol of atoms: -0.48
DOS(E_F) in states/eV/cell: 1.0
Total magnetic moment in μB per atom: 0.000

(4)
The following is a PBEsol calculation of an optimized crystal structure of NiCl2, from Alexandria via LeMat-Bulk.

The structure in POSCAR format:
```
NiCl2
1.0
3.0098 0.0000 0.0000
0.0000 3.0098 0.0000
-1.5049 -1.5049 5.9648
Cl Ni
2 1
direct
0.6211 0.6211 0.2423 Cl
0.3789 0.3789 0.7577 Cl
0.0000 0.0000 0.0000 Ni
```

DOS(E_F) in states/eV/cell: 2.2
Total magnetic moment in μB per atom: 0.668
Uncorrected formation energy in eV per atom: 0.000

(5)
The following is a PBEsol calculation of an optimized crystal structure of KScF4, from Alexandria via LeMat-Bulk.

The structure in POSCAR format:
```
KScF4
1.0
4.0717 0.0000 0.0000
-2.0359 7.7852 -0.0386
0.0000 -4.0895 12.6406
Sc F K
4 16 4
direct
0.1215 0.2431 0.6146 Sc
0.9720 0.9439 0.1389 Sc
0.0280 0.0561 0.8611 Sc
0.8785 0.7569 0.3854 Sc
0.6191 0.2381 0.6185 F
0.5282 0.0565 0.8567 F
0.0455 0.0909 0.7162 F
0.9545 0.9091 0.2838 F
0.1033 0.2066 0.2177 F
0.3809 0.7619 0.3815 F
0.2345 0.4690 0.7328 F
0.4718 0.9435 0.1433 F
0.8394 0.6787 0.0699 F
0.8967 0.7934 0.7823 F
0.8219 0.6438 0.4974 F
0.1606 0.3213 0.9301 F
0.0000 0.0000 0.0000 F
0.7655 0.5310 0.2672 F
0.0000 0.0000 0.5000 F
0.1781 0.3562 0.5026 F
0.2440 0.4880 0.1354 K
0.6395 0.2789 0.3638 K
0.7560 0.5120 0.8646 K
0.3605 0.7211 0.6362 K
```

DOS(E_F) in states/eV/cell: 0.0
Total magnetic moment in μB per atom: 0.011
Uncorrected formation energy in eV per atom: -3.633

(6)
The following is a PBEsol calculation of an optimized crystal structure of HfZr3Pt, from Alexandria via LeMat-Bulk.

The structure in POSCAR format:
```
HfZr3Pt
1.0
-4.3220 -0.9442 -2.2323
2.4172 -1.3413 -4.1125
0.1794 -4.6759 1.6305
Zr Hf Pt
3 1 1
direct
0.0000 0.0000 0.5000 Zr
0.5000 0.0000 0.0000 Zr
0.0000 0.5000 0.0000 Zr
0.0000 0.0000 0.0000 Hf
0.5000 0.5000 0.5000 Pt
```

Formation energy from the elements in kcal/mol of atoms: 27.22
DOS(E_F) in states/eV/cell: 6.5
Total magnetic moment in μB per atom: 0.000

(7)
The following is a PBEsol calculation of an optimized crystal structure of KMnTe2, from Alexandria via LeMat-Bulk.

The structure in POSCAR format:
```
KMnTe2
1.0
-3.6971 1.0233 -1.0992
-0.3410 -4.2937 -2.8504
-1.9137 -2.5469 4.0654
Te Mn K
2 1 1
direct
0.0000 0.0000 0.5000 Te
0.0000 0.5000 0.0000 Te
0.5000 0.0000 0.0000 Mn
0.5000 0.5000 0.5000 K
```

DOS(E_F) in states/eV/cell: 2.3
Total magnetic moment in μB per atom: 1.136
Uncorrected formation energy in eV per atom: 0.066

(8)
The following is a PBEsol calculation of an optimized crystal structure of BeCrRu2, from Alexandria via LeMat-Bulk.

The structure in POSCAR format:
```
BeCrRu2
1.0
2.8196 0.0000 0.0000
0.0000 2.8196 0.0000
0.0000 0.0000 5.7487
Ru Cr Be
2 1 1
direct
0.0000 0.0000 0.4859 Ru
0.0000 0.0000 0.0141 Ru
0.5000 0.5000 0.7500 Cr
0.5000 0.5000 0.2500 Be
```

Formation energy from the elements in kcal/mol of atoms: -3.25
DOS(E_F) in states/eV/cell: 3.4
Total magnetic moment in μB per atom: 0.000

(9)
The following is a PBEsol calculation of an optimized crystal structure of Al2SiHg, from Alexandria via LeMat-Bulk.

The structure in POSCAR format:
```
Al2SiHg
1.0
2.8598 0.0000 0.0000
0.0000 4.9817 0.0000
0.0000 0.0000 4.9817
Al Si Hg
2 1 1
direct
0.0000 0.0000 0.5000 Al
0.0000 0.5000 0.0000 Al
0.5000 0.0000 0.0000 Si
0.5000 0.5000 0.5000 Hg
```

DOS(E_F) in states/eV/cell: 1.6
Total magnetic moment in μB per atom: 0.000
Uncorrected formation energy in eV per atom: 0.230

(10)
The following is a PBEsol calculation of an optimized crystal structure of La2CdHg, from Alexandria via LeMat-Bulk.

The structure in POSCAR format:
```
La2CdHg
1.0
3.8391 0.0000 0.0000
0.0000 5.4364 0.0000
0.0000 0.0000 5.4364
Hg La Cd
1 2 1
direct
0.5000 0.0000 0.0000 Hg
0.0000 0.0000 0.5000 La
0.0000 0.5000 0.0000 La
0.5000 0.5000 0.5000 Cd
```

Formation energy from the elements in kcal/mol of atoms: -9.90
DOS(E_F) in states/eV/cell: 5.0
Total magnetic moment in μB per atom: 0.098

(11)
The following is a PBEsol calculation of an optimized crystal structure of Cs2AgAuCl6, from Alexandria via LeMat-Bulk.

The structure in POSCAR format:
```
Cs2AgAuCl6
1.0
7.1794 0.0000 0.0000
-3.5897 6.5470 0.0159
0.0000 3.9218 6.0136
Cl Ag Cs Au
6 1 2 1
direct
0.2297 0.0000 0.2297 Cl
0.2297 0.0000 0.7703 Cl
0.7703 0.0000 0.7703 Cl
0.7156 0.4312 0.2844 Cl
0.7703 0.0000 0.2297 Cl
0.2844 0.5688 0.7156 Cl
0.5000 0.0000 0.5000 Ag
0.2500 0.5000 0.2500 Cs
0.7500 0.5000 0.7500 Cs
0.0000 0.0000 0.0000 Au
```

Total magnetic moment in μB per atom: 0.000
Uncorrected formation energy in eV per atom: -1.092

(12)
The following is a PBEsol calculation of an optimized crystal structure of BaGe3Au, from Alexandria via LeMat-Bulk.

The structure in POSCAR format:
```
BaGe3Au
1.0
-1.3837 -1.4053 4.2102
1.3167 -4.3415 -1.0164
4.7035 3.8537 0.2651
Ge Au Ba
3 1 1
direct
0.7407 0.2407 0.4815 Ge
0.2407 0.7407 0.4815 Ge
0.6096 0.6096 0.2193 Ge
0.3558 0.3558 0.7117 Au
0.9954 0.9954 0.9908 Ba
```

Formation energy from the elements in kcal/mol of atoms: -11.60
DOS(E_F) in states/eV/cell: 1.1
Total magnetic moment in μB per atom: 0.000